No. 1
Here is Na2Ni2O3 after structural relaxation from Alexandria via LeMat-Bulk. Energies are from PBE+U.

```
data_Na2Ni2O3
_chemical_formula_sum 'Na4 Ni4 O6'
_symmetry_space_group_name_H-M 'P 1'
_symmetry_Int_Tables_number 1
_symmetry_space_group_name_Hall 'P 1'
_cell_length_a 5.867
_cell_length_b 5.747
_cell_length_c 6.170
_cell_angle_alpha 90.00
_cell_angle_beta 119.63
_cell_angle_gamma 90.00
loop_
_atom_site_label
_atom_site_type_symbol
_atom_site_fract_x
_atom_site_fract_y
_atom_site_fract_z
Na1 Na 0.134 0.157 0.398
Na2 Na 0.134 0.343 0.898
Na3 Na 0.866 0.657 0.102
Na4 Na 0.866 0.843 0.602
Ni1 Ni 0.343 0.631 0.581
Ni2 Ni 0.343 0.869 0.081
Ni3 Ni 0.657 0.131 0.919
Ni4 Ni 0.657 0.369 0.419
O1 O 0.000 0.000 0.000
O2 O 0.000 0.500 0.500
O3 O 0.349 0.580 0.257
O4 O 0.349 0.920 0.757
O5 O 0.651 0.080 0.243
O6 O 0.651 0.420 0.743
```

Properties
Its calculated total energy is -60.5 eV for the cell shown. Its crystal system is monoclinic. Its space group is P2_1/c (14). The volume is 12.92 Å³ per atom. Its energy above the lowest structure with this stoichiometry is 0 meV per atom.


No. 2
Here is Na6NiO4 after structural relaxation from Alexandria via LeMat-Bulk. Energies are from PBE+U.

```
data_Na6NiO4
_chemical_formula_sum 'Na12 Ni2 O8'
_symmetry_space_group_name_H-M 'P 1'
_symmetry_Int_Tables_number 1
_symmetry_space_group_name_Hall 'P 1'
_cell_length_a 7.468
_cell_length_b 7.468
_cell_length_c 5.459
_cell_angle_alpha 90.00
_cell_angle_beta 90.00
_cell_angle_gamma 90.00
loop_
_atom_site_label
_atom_site_type_symbol
_atom_site_fract_x
_atom_site_fract_y
_atom_site_fract_z
Na1 Na 0.038 0.538 0.250
Na2 Na 0.038 0.962 0.250
Na3 Na 0.250 0.250 0.155
Na4 Na 0.250 0.250 0.655
Na5 Na 0.462 0.538 0.250
Na6 Na 0.462 0.962 0.250
Na7 Na 0.538 0.038 0.750
Na8 Na 0.538 0.462 0.750
Na9 Na 0.750 0.750 0.345
Na10 Na 0.750 0.750 0.845
Na11 Na 0.962 0.038 0.750
Na12 Na 0.962 0.462 0.750
Ni1 Ni 0.250 0.750 0.750
Ni2 Ni 0.750 0.250 0.250
O1 O 0.005 0.750 0.573
O2 O 0.250 0.505 0.927
O3 O 0.250 0.995 0.927
O4 O 0.495 0.750 0.573
O5 O 0.505 0.250 0.427
O6 O 0.750 0.005 0.073
O7 O 0.750 0.495 0.073
O8 O 0.995 0.250 0.427
```

Properties
Its calculated total energy is -84.1 eV for the cell shown. Its crystal system is tetragonal. Its space group is P4_2/nmc (137). The volume is 13.84 Å³ per atom. Its energy above the lowest structure with this stoichiometry is 115 meV per atom.


No. 3
Here is Na3Ni7O12 after structural relaxation from Alexandria via LeMat-Bulk. Energies are from PBE+U.

```
data_Na3Ni7O12
_chemical_formula_sum 'Na3 Ni7 O12'
_symmetry_space_group_name_H-M 'P 1'
_symmetry_Int_Tables_number 1
_symmetry_space_group_name_Hall 'P 1'
_cell_length_a 5.445
_cell_length_b 5.874
_cell_length_c 7.673
_cell_angle_alpha 99.13
_cell_angle_beta 96.18
_cell_angle_gamma 106.31
loop_
_atom_site_label
_atom_site_type_symbol
_atom_site_fract_x
_atom_site_fract_y
_atom_site_fract_z
Na1 Na 0.000 0.000 0.000
Na2 Na 0.005 0.183 0.647
Na3 Na 0.991 0.489 0.998
Ni1 Ni 0.000 0.807 0.346
Ni2 Ni 0.487 0.070 0.835
Ni3 Ni 0.493 0.402 0.170
Ni4 Ni 0.499 0.739 0.500
Ni5 Ni 0.501 0.578 0.831
Ni6 Ni 0.508 0.243 0.501
Ni7 Ni 0.508 0.908 0.174
O1 O 0.294 0.651 0.269
O2 O 0.298 0.305 0.911
O3 O 0.299 0.952 0.568
O4 O 0.305 0.100 0.266
O5 O 0.305 0.811 0.948
O6 O 0.310 0.484 0.591
O7 O 0.684 0.846 0.737
O8 O 0.692 0.334 0.737
O9 O 0.696 0.171 0.085
O10 O 0.699 0.540 0.422
O11 O 0.709 0.705 0.093
O12 O 0.716 0.984 0.402
```

Properties
Its calculated total energy is -101.2 eV for the cell shown. Its crystal system is triclinic. Its space group is P1 (1). The volume is 10.43 Å³ per atom.